Record 1
Here is an optimized crystal structure of Tm2TlS from Alexandria via LeMat-Bulk. Energies are from GGA-PBE.

```
data_Tm2TlS
_chemical_formula_sum 'Tm6 Tl3 S3'
_cell_length_a 3.7353
_cell_length_b 3.7353
_cell_length_c 24.0718
_cell_angle_alpha 90.00
_cell_angle_beta 90.00
_cell_angle_gamma 120.00
_space_group_name_H-M_alt 'R 3 m'
_space_group_IT_number 160
_space_group_name_Hall 'R 3 -2"'
loop_
_atom_site_label
_atom_site_fract_x
_atom_site_fract_y
_atom_site_fract_z
_atom_site_occupancy
Tm1 0.0000 0.0000 0.0000 1
Tm2 0.0000 0.0000 0.2016 1
Tl1 0.0000 0.0000 0.7674 1
S1 0.0000 0.0000 0.5998 1
```

Calculated values
distance to the lowest polymorph of the same formula: 0.13 eV per formula unit
VASP energy: -0.183 Ha/atom



Record 2
Here is an optimized crystal structure of TlTe2Br8 from Alexandria via LeMat-Bulk. Energies are from GGA-PBE.

```
data_TlTe2Br8
_chemical_formula_sum 'Tl2 Te4 Br16'
_cell_length_a 13.119
_cell_length_b 8.274
_cell_length_c 9.307
_cell_angle_alpha 90.00
_cell_angle_beta 119.74
_cell_angle_gamma 90.00
_space_group_name_H-M_alt 'C 1 2/m 1'
_space_group_IT_number 12
loop_
_space_group_symop_operation_xyz
'x,y,z'
'-x,-y,-z'
'-x,y,-z'
'x,-y,z'
'x+1/2,y+1/2,z'
'-x+1/2,-y+1/2,-z'
'-x+1/2,y+1/2,-z'
'x+1/2,-y+1/2,z'
loop_
_atom_site_label
_atom_site_fract_x
_atom_site_fract_y
_atom_site_fract_z
_atom_site_occupancy
Tl1 0.000 0.000 0.000 1
Te1 0.144 0.000 0.633 1
Br1 0.100 0.247 0.769 1
Br2 0.121 0.500 0.130 1
Br3 0.209 0.000 0.397 1
```

Calculated values
distance to the lowest polymorph of the same formula: 0.00 eV per formula unit
VASP energy: -0.086 Ha/atom



Record 3
Here is an optimized crystal structure of KPdCl from Alexandria via LeMat-Bulk. Energies are from GGA-PBE.

```
data_KPdCl
_chemical_formula_sum 'K4 Pd4 Cl4'
_cell_length_a 6.752
_cell_length_b 6.752
_cell_length_c 6.752
_cell_angle_alpha 90.00
_cell_angle_beta 90.00
_cell_angle_gamma 90.00
_space_group_name_H-M_alt 'F -4 3 m'
_space_group_IT_number 216
_space_group_name_Hall 'F -4 2 3'
loop_
_atom_site_label
_atom_site_fract_x
_atom_site_fract_y
_atom_site_fract_z
_atom_site_occupancy
K1 0.000 0.000 0.000 1
Pd1 0.250 0.250 0.750 1
Cl1 0.000 0.000 0.500 1
```

Calculated values
distance to the lowest polymorph of the same formula: 1.37 eV per formula unit
VASP energy: -0.113 Ha/atom



Record 4
Here is an optimized crystal structure of Cs2UBr3Cl3 from Alexandria via LeMat-Bulk. Energies are from GGA-PBE.

```
data_Cs2UBr3Cl3
_chemical_formula_sum 'Cs2 U1 Br3 Cl3'
_cell_length_a 8.9061
_cell_length_b 8.9061
_cell_length_c 4.3972
_cell_angle_alpha 90.00
_cell_angle_beta 90.00
_cell_angle_gamma 120.00
_space_group_name_H-M_alt 'P -6 2 m'
_space_group_IT_number 189
_space_group_name_Hall 'P -6 -2'
loop_
_atom_site_label
_atom_site_fract_x
_atom_site_fract_y
_atom_site_fract_z
_atom_site_occupancy
Cs1 0.3333 0.6667 0.0000 1
U1 0.0000 0.0000 0.5000 1
Br1 0.0000 0.3367 0.5000 1
Cl1 0.0000 0.7907 0.0000 1
```

Calculated values
VASP energy: -0.157 Ha/atom